Density functional theory data (PBE) for a relaxed Pa3Hg5Te12 crystal.

Cell and atoms, written as POSCAR:
```
Pa3Hg5Te12
1.0
15.266 0.000 0.000
-5.089 14.393 0.000
-5.089 -7.196 12.464
Pa Hg Te
12 20 48
Direct
0.750 0.375 0.125
0.875 0.750 0.125
0.375 0.750 0.625
0.250 0.125 0.375
0.875 0.125 0.250
0.375 0.625 0.250
0.625 0.375 0.750
0.125 0.875 0.750
0.750 0.875 0.625
0.625 0.250 0.375
0.125 0.250 0.875
0.250 0.625 0.875
0.125 0.375 0.250
0.000 0.500 0.000
0.000 0.000 0.000
0.375 0.250 0.125
0.500 0.000 0.500
0.500 0.500 0.000
0.125 0.750 0.375
0.750 0.125 0.875
0.750 0.625 0.375
0.375 0.125 0.750
0.625 0.875 0.250
0.500 0.500 0.500
0.500 0.000 0.000
0.000 0.000 0.500
0.250 0.375 0.625
0.250 0.875 0.125
0.000 0.500 0.500
0.875 0.250 0.625
0.625 0.750 0.875
0.875 0.625 0.750
0.727 0.138 0.055
0.328 0.555 0.417
0.945 0.362 0.273
0.555 0.227 0.138
0.589 0.727 0.672
0.945 0.583 0.172
0.328 0.773 0.411
0.083 0.911 0.138
0.583 0.945 0.672
0.727 0.589 0.172
0.773 0.445 0.362
0.828 0.917 0.055
0.138 0.727 0.555
0.362 0.417 0.089
0.089 0.917 0.362
0.411 0.138 0.583
0.089 0.172 0.227
0.445 0.672 0.083
0.828 0.911 0.273
0.138 0.411 0.083
0.362 0.945 0.773
0.583 0.638 0.411
0.917 0.828 0.555
0.773 0.328 0.911
0.417 0.362 0.589
0.083 0.172 0.445
0.227 0.672 0.089
0.172 0.089 0.727
0.638 0.055 0.227
0.862 0.589 0.917
0.555 0.328 0.917
0.589 0.862 0.417
0.911 0.828 0.773
0.911 0.083 0.638
0.862 0.273 0.445
0.172 0.083 0.945
0.638 0.583 0.911
0.417 0.055 0.328
0.273 0.411 0.828
0.227 0.555 0.638
0.917 0.089 0.862
0.672 0.227 0.589
0.445 0.773 0.862
0.055 0.417 0.828
0.411 0.273 0.328
0.055 0.638 0.727
0.672 0.445 0.583
0.273 0.862 0.945
```

Output
Symmetry = Ia-3d
Total moment = 0.76 μB per formula unit
Calculated volume = 34.2 Å³ per atom
Formation energy from raw total energies = -0.3182 eV per atom